# Ba2HgS3 GGA-PBEsol optimized geometry
data_Ba2HgS3
_chemical_formula_sum 'Ba8 Hg4 S12'
_space_group_name_H-M_alt 'P n m a'
_space_group_IT_number 62
_space_group_name_Hall '-P 2ac 2n'
_cell_length_a 8.881
_cell_length_b 4.327
_cell_length_c 17.156
_cell_angle_alpha 90.00
_cell_angle_beta 90.00
_cell_angle_gamma 90.00
loop_
_atom_site_label
_atom_site_type_symbol
_atom_site_fract_x
_atom_site_fract_y
_atom_site_fract_z
_atom_site_occupancy
Ba1 Ba 0.076 0.250 0.215 1
Ba2 Ba 0.241 0.250 0.960 1
Hg1 Hg 0.124 0.250 0.633 1
S1 S 0.015 0.250 0.405 1
S2 S 0.115 0.750 0.072 1
S3 S 0.189 0.250 0.778 1
# Uncorrected formation energy ... -145 kJ per mole of atoms
# Total DFT energy (no corrections) ... -4.50 eV per atom